Sr2ZnH6Pt | PBE | relaxed

**Raw total energy**: -34.60 eV per cell
**Total magnetization**: 0.0 Bohr magnetons per cell
**Symmetry**: No. 12

Cell: 5.5298 5.5297 5.5250 Å, 59.52 59.52 89.32°
Fractional positions:
H 0.2666 0.7334 0.0000
Sr 0.7499 0.2501 0.5000
H 0.2651 0.2651 0.0011
H 0.7349 0.7349 0.5318
H 0.7334 0.2666 0.0000
Zn 0.0000 0.0000 0.0000
Sr 0.2501 0.7499 0.5000
Pt 0.5000 0.5000 0.0000
H 0.2651 0.2651 0.4682
H 0.7349 0.7349 0.9989